Computed, not measured: an optimized crystal structure of Hf2FeSi2 at the GGA-PBEsol level of DFT.

a = 3.2960 Å, b = 3.2960 Å, c = 15.1047 Å
α = 90.00°, β = 90.00°, γ = 90.00°
Closest atoms and distances in Å follow each position.
Space group I4/mmm (No. 139)
Asymmetric unit:
1 Hf 0.0000 0.0000 0.1004 [4 per cell]  4 Fe 2.78, 4 Si 2.80, 1 Hf 3.03
2 Fe 0.0000 0.0000 0.5000 [2 per cell]  8 Hf 2.78
3 Si 0.0000 0.5000 0.2500 [4 per cell]  4 Si 2.33

DFT total energy = -8.465 eV/atom
formation energy from raw total energies = -0.9 eV per formula unit
volume = 164.1 Å³ per cell